[1]
Below is an optimized crystal structure of Na2In2Bi3, with properties calculated at the PBE level.

Cell and atoms, written as CIF:
```
data_Na2In2Bi3
_chemical_formula_sum 'Na2 In2 Bi3'
_cell_length_a 5.761
_cell_length_b 3.382
_cell_length_c 11.255
_cell_angle_alpha 90.00
_cell_angle_beta 103.92
_cell_angle_gamma 90.00
_symmetry_space_group_name_H-M 'P 1'
_symmetry_Int_Tables_number 1
_symmetry_space_group_name_Hall 'P 1'
loop_
_atom_site_label
_atom_site_fract_x
_atom_site_fract_y
_atom_site_fract_z
Na1 0.140 0.000 0.279
Na2 0.860 0.000 0.721
In1 0.431 0.500 0.856
In2 0.569 0.500 0.144
Bi1 0.000 0.500 0.000
Bi2 0.282 0.500 0.566
Bi3 0.718 0.500 0.434
```

Summary:
Uncorrected energy   -2.94 eV/atom
Space group   No. 10



[2]
Below is an optimized crystal structure of Na2InBi, with properties calculated at the PBE level.

Cell and atoms, written as CIF:
```
data_Na2InBi
_chemical_formula_sum 'Na2 In1 Bi1'
_cell_length_a 7.210
_cell_length_b 7.210
_cell_length_c 7.210
_cell_angle_alpha 152.53
_cell_angle_beta 130.97
_cell_angle_gamma 57.12
_symmetry_space_group_name_H-M 'P 1'
_symmetry_Int_Tables_number 1
_symmetry_space_group_name_Hall 'P 1'
loop_
_atom_site_label
_atom_site_fract_x
_atom_site_fract_y
_atom_site_fract_z
Na1 0.249 0.249 0.000
Na2 0.751 0.751 0.000
In1 0.500 0.500 0.000
Bi1 0.000 0.000 0.000
```

Summary:
Uncorrected energy   -2.27 eV/atom
Space group   No. 71



[3]
Below is an optimized crystal structure of NaNpInBi, with properties calculated at the PBE level.

Cell and atoms, written as CIF:
```
data_NaNpInBi
_chemical_formula_sum 'Na1 Np1 In1 Bi1'
_cell_length_a 5.421
_cell_length_b 5.421
_cell_length_c 5.421
_cell_angle_alpha 60.00
_cell_angle_beta 60.00
_cell_angle_gamma 60.00
_symmetry_space_group_name_H-M 'P 1'
_symmetry_Int_Tables_number 1
_symmetry_space_group_name_Hall 'P 1'
loop_
_atom_site_label
_atom_site_fract_x
_atom_site_fract_y
_atom_site_fract_z
Na1 0.000 0.000 0.000
Np1 0.500 0.500 0.500
In1 0.250 0.250 0.250
Bi1 0.750 0.750 0.750
```

Summary:
Uncorrected energy   -5.11 eV/atom
Space group   No. 216



[4]
Below is an optimized crystal structure of NaInBiO4, with properties calculated at the PBE level.

Cell and atoms, written as CIF:
```
data_NaInBiO4
_chemical_formula_sum 'Na2 In2 Bi2 O8'
_cell_length_a 6.778
_cell_length_b 6.778
_cell_length_c 6.778
_cell_angle_alpha 121.12
_cell_angle_beta 117.76
_cell_angle_gamma 91.00
_symmetry_space_group_name_H-M 'P 1'
_symmetry_Int_Tables_number 1
_symmetry_space_group_name_Hall 'P 1'
loop_
_atom_site_label
_atom_site_fract_x
_atom_site_fract_y
_atom_site_fract_z
Na1 0.383 0.133 0.250
Na2 0.617 0.867 0.750
In1 0.000 0.000 0.500
In2 0.000 0.500 0.000
Bi1 0.000 0.500 0.500
Bi2 0.500 0.500 0.000
O1 0.197 0.737 0.461
O2 0.224 0.263 0.961
O3 0.238 0.269 0.531
O4 0.238 0.706 0.969
O5 0.762 0.294 0.031
O6 0.762 0.731 0.469
O7 0.776 0.737 0.039
O8 0.803 0.263 0.539
```

Summary:
ΔE_f (raw)   -1.35 eV/atom
Space group   No. 74



[5]
Below is an optimized crystal structure of Na3In3BiO8, with properties calculated at the PBE level.

Cell and atoms, written as CIF:
```
data_Na3In3BiO8
_chemical_formula_sum 'Na3 In3 Bi1 O8'
_cell_length_a 6.827
_cell_length_b 6.827
_cell_length_c 6.827
_cell_angle_alpha 58.30
_cell_angle_beta 58.30
_cell_angle_gamma 58.30
_symmetry_space_group_name_H-M 'P 1'
_symmetry_Int_Tables_number 1
_symmetry_space_group_name_Hall 'P 1'
loop_
_atom_site_label
_atom_site_fract_x
_atom_site_fract_y
_atom_site_fract_z
Na1 0.000 0.500 0.500
Na2 0.500 0.000 0.500
Na3 0.500 0.500 0.000
In1 0.000 0.000 0.500
In2 0.000 0.500 0.000
In3 0.500 0.000 0.000
Bi1 0.500 0.500 0.500
O1 0.236 0.236 0.236
O2 0.236 0.736 0.736
O3 0.264 0.264 0.764
O4 0.264 0.764 0.264
O5 0.736 0.236 0.736
O6 0.736 0.736 0.236
O7 0.764 0.264 0.264
O8 0.764 0.764 0.764
```

Summary:
ΔE_f (raw)   -1.47 eV/atom
Space group   No. 166



[6]
Below is an optimized crystal structure of NaIn4BiO8, with properties calculated at the PBE level.

Cell and atoms, written as CIF:
```
data_NaIn4BiO8
_chemical_formula_sum 'Na1 In4 Bi1 O8'
_cell_length_a 6.642
_cell_length_b 6.642
_cell_length_c 6.642
_cell_angle_alpha 59.73
_cell_angle_beta 59.73
_cell_angle_gamma 59.73
_symmetry_space_group_name_H-M 'P 1'
_symmetry_Int_Tables_number 1
_symmetry_space_group_name_Hall 'P 1'
loop_
_atom_site_label
_atom_site_fract_x
_atom_site_fract_y
_atom_site_fract_z
Na1 0.000 0.000 0.000
In1 0.500 0.999 0.999
In2 0.617 0.617 0.617
In3 0.999 0.500 0.999
In4 0.999 0.999 0.500
Bi1 0.378 0.378 0.378
O1 0.224 0.748 0.748
O2 0.234 0.234 0.234
O3 0.251 0.251 0.784
O4 0.251 0.784 0.251
O5 0.748 0.224 0.748
O6 0.748 0.748 0.224
O7 0.753 0.753 0.753
O8 0.784 0.251 0.251
```

Summary:
ΔE_f (raw)   -1.47 eV/atom
Space group   No. 160



| no. | V (Å³/cell) |
| --- | --- |
| 1 | 212.86 |
| 2 | 129.73 |
| 3 | 112.63 |
| 4 | 221.75 |
| 5 | 216.21 |
| 6 | 205.90 |